[1]
Computed, not measured: a relaxed TbHfRuPt crystal at the PBE level of DFT.

Unit cell a=4.7658 b=4.7658 c=4.7658 alpha=60.00 beta=60.00 gamma=60.00
With the nearest neighbours (Å) after each atom.
Atoms (fractional coordinates):
Tb1 0.0000 0.0000 0.0000  4 Ru 2.92, 4 Pt 2.92
Hf1 0.5000 0.5000 0.5000  4 Ru 2.92, 4 Pt 2.92
Ru1 0.2500 0.2500 0.2500  4 Hf 2.92, 4 Tb 2.92
Pt1 0.7500 0.7500 0.7500  4 Hf 2.92, 4 Tb 2.92

Density in g/cm³: 13.745
Size of the total moment in Bohr magnetons per cell: 0.00
DFT total energy in eV/f.u.: -32.9
Formation enthalpy at 0 K in eV/atom: -0.7453



[2]
Computed, not measured: a relaxed LiSb2Rh crystal at the PBE level of DFT.

Unit cell a=4.2211 b=5.1925 c=5.1925 alpha=42.24 beta=90.00 gamma=90.00
With the nearest neighbours (Å) after each atom.
Atoms (fractional coordinates):
Li1 0.0000 0.0000 0.0000  2 Rh 2.60, 7 Sb 2.71-2.86
Sb1 0.0000 0.7202 0.7202  3 Li 2.71-2.84, 4 Rh 2.89
Sb2 0.5000 0.4506 0.4506  3 Rh 2.74-2.84, 4 Li 2.86
Rh1 0.5000 0.1574 0.1574  2 Li 2.60, 7 Sb 2.74-2.89

Density in g/cm³: 7.670
Size of the total moment in Bohr magnetons per cell: 0.00
Offset from the most stable computed form in eV per formula unit: 0.18
DFT total energy in eV/f.u.: -18.7



[3]
Computed, not measured: a relaxed LaHfCr3 crystal at the PBE level of DFT.

Unit cell a=4.8938 b=4.8938 c=4.8938 alpha=90.00 beta=90.00 gamma=90.00
With the nearest neighbours (Å) after each atom.
Atoms (fractional coordinates):
La1 0.0000 0.0000 0.0000  12 Cr 3.46
Hf1 0.5000 0.5000 0.5000  6 Cr 2.45
Cr1 0.0000 0.5000 0.5000  2 Hf 2.45
Cr2 0.5000 0.0000 0.5000  2 Hf 2.45
Cr3 0.5000 0.5000 0.0000  2 Hf 2.45

Density in g/cm³: 6.707
Size of the total moment in Bohr magnetons per cell: 8.88
Offset from the most stable computed form in eV per formula unit: 0.00
DFT total energy in eV/f.u.: -38.2
Formation enthalpy at 0 K in eV/atom: 1.1166



[4]
Computed, not measured: a relaxed Ta3AlAg crystal at the PBE level of DFT.

Unit cell a=4.8719 b=4.8719 c=4.8719 alpha=90.00 beta=90.00 gamma=90.00
With the nearest neighbours (Å) after each atom.
Atoms (fractional coordinates):
Ta1 0.0000 0.0000 0.5000  2 Ag 2.44
Ta2 0.0000 0.5000 0.0000  2 Ag 2.44
Ta3 0.5000 0.0000 0.0000  2 Ag 2.44
Al1 0.5000 0.5000 0.5000  12 Ta 3.44
Ag1 0.0000 0.0000 0.0000  6 Ta 2.44

Density in g/cm³: 9.732
Size of the total moment in Bohr magnetons per cell: 0.00
Offset from the most stable computed form in eV per formula unit: 2.51
DFT total energy in eV/f.u.: -32.8
Formation enthalpy at 0 K in eV/atom: 1.8667



[5]
Computed, not measured: a relaxed RbTaAgBr2 crystal at the PBE level of DFT.

Unit cell a=5.1816 b=5.1816 c=5.5608 alpha=90.00 beta=90.00 gamma=90.00
With the nearest neighbours (Å) after each atom.
Atoms (fractional coordinates):
Rb1 0.0000 0.0000 0.0000  4 Ag 3.66, 8 Br 3.80
Ta1 0.5000 0.5000 0.5000  4 Br 2.59, 2 Ag 2.78
Ag1 0.5000 0.5000 0.0000  2 Ta 2.78
Br1 0.0000 0.5000 0.5000  2 Ta 2.59
Br2 0.5000 0.0000 0.5000  2 Ta 2.59

Density in g/cm³: 5.940
Size of the total moment in Bohr magnetons per cell: 0.49
DFT total energy in eV/f.u.: -19.5



[6]
Computed, not measured: a relaxed BaIrOs2 crystal at the PBE level of DFT.

Unit cell a=5.1185 b=5.1185 c=2.9134 alpha=90.00 beta=90.00 gamma=90.00
With the nearest neighbours (Å) after each atom.
Atoms (fractional coordinates):
Ba1 0.0000 0.0000 0.0000  2 Ba 2.91, 8 Os 2.94
Ir1 0.5000 0.5000 0.0000  2 Ir 2.91, 8 Os 2.94
Os1 0.0000 0.5000 0.5000  2 Os 2.91, 4 Ba 2.94, 4 Ir 2.94
Os2 0.5000 0.0000 0.5000  2 Os 2.91, 4 Ba 2.94, 4 Ir 2.94

Density in g/cm³: 15.446
Size of the total moment in Bohr magnetons per cell: 2.65
Offset from the most stable computed form in eV per formula unit: 5.13
DFT total energy in eV/f.u.: -27.0
Formation enthalpy at 0 K in eV/atom: 1.5616



[7]
Computed, not measured: a relaxed AlCr2Pt crystal at the PBE level of DFT.

Unit cell a=8.2212 b=8.2212 c=8.2212 alpha=19.75 beta=19.75 gamma=19.75
With the nearest neighbours (Å) after each atom.
Atoms (fractional coordinates):
Al1 0.0000 0.0000 0.0000  3 Pt 2.64, 3 Cr 2.71, 6 Al 2.82
Cr1 0.4877 0.4877 0.4877  3 Cr 2.25
Cr2 0.7565 0.7565 0.7565  3 Cr 2.25
Pt1 0.2472 0.2472 0.2472  3 Al 2.64, 3 Cr 2.77, 6 Pt 2.82

Density in g/cm³: 9.755
Size of the total moment in Bohr magnetons per cell: 0.00
DFT total energy in eV/f.u.: -29.3
Formation enthalpy at 0 K in eV/atom: -0.0736



[8]
Computed, not measured: a relaxed La2AgGe2 crystal at the PBE level of DFT.

Unit cell a=7.4917 b=7.4917 c=4.5206 alpha=90.00 beta=90.00 gamma=90.00
With the nearest neighbours (Å) after each atom.
Atoms (fractional coordinates):
La1 0.1772 0.3228 0.0000  6 Ge 3.10-3.21
La2 0.3228 0.8228 0.0000  6 Ge 3.10-3.21
La3 0.6772 0.1772 0.0000  6 Ge 3.10-3.21
La4 0.8228 0.6772 0.0000  6 Ge 3.10-3.21
Ag1 0.0000 0.0000 0.5000  4 Ge 2.97
Ag2 0.5000 0.5000 0.5000  4 Ge 2.97
Ge1 0.1226 0.6226 0.5000  1 Ge 2.60
Ge2 0.3774 0.1226 0.5000  1 Ge 2.60
Ge3 0.6226 0.8774 0.5000  1 Ge 2.60
Ge4 0.8774 0.3774 0.5000  1 Ge 2.60

Density in g/cm³: 6.950
Size of the total moment in Bohr magnetons per cell: 0.00
Offset from the most stable computed form in eV per formula unit: 0.04
DFT total energy in eV/f.u.: -25.4
Formation enthalpy at 0 K in eV/atom: -0.6860